This record from Alexandria describes a relaxed structure of Nd2MgSi3Ir4. The functional is PBE.

Output
As for the space group: P-4m2 (115). The uncorrected formation energy is -878 kJ/mol of formula units.

CIF file:
```
data_Nd2MgSi3Ir4
_symmetry_space_group_name_H-M 'P 1'
_symmetry_Int_Tables_number 1
_symmetry_space_group_name_Hall 'P 1'
_cell_length_a 4.1595
_cell_length_b 4.1595
_cell_length_c 10.3549
_cell_angle_alpha 90.00
_cell_angle_beta 90.00
_cell_angle_gamma 90.00
loop_
_atom_site_label
_atom_site_fract_x
_atom_site_fract_y
_atom_site_fract_z
Nd1 0.0000 0.5000 0.2475
Nd2 0.5000 0.0000 0.7525
Mg1 0.0000 0.0000 0.5000
Si1 0.0000 0.5000 0.8759
Si2 0.5000 0.0000 0.1241
Si3 0.5000 0.5000 0.5000
Ir1 0.0000 0.0000 0.0000
Ir2 0.0000 0.5000 0.6434
Ir3 0.5000 0.0000 0.3566
Ir4 0.5000 0.5000 0.0000
```


This record from Alexandria describes a relaxed structure of Nd2MgSi2Ir5. The functional is PBE.

Output
As for the space group: P4/mbm (127). The uncorrected formation energy is -672 kJ/mol of formula units.

CIF file:
```
data_Nd2MgSi2Ir5
_symmetry_space_group_name_H-M 'P 1'
_symmetry_Int_Tables_number 1
_symmetry_space_group_name_Hall 'P 1'
_cell_length_a 10.0177
_cell_length_b 10.0177
_cell_length_c 3.5049
_cell_angle_alpha 90.00
_cell_angle_beta 90.00
_cell_angle_gamma 90.00
loop_
_atom_site_label
_atom_site_fract_x
_atom_site_fract_y
_atom_site_fract_z
Nd1 0.1763 0.3237 0.0000
Nd2 0.3237 0.8237 0.0000
Nd3 0.6763 0.1763 0.0000
Nd4 0.8237 0.6763 0.0000
Mg1 0.0000 0.0000 0.0000
Mg2 0.5000 0.5000 0.0000
Si1 0.1230 0.6230 0.0000
Si2 0.3770 0.1230 0.0000
Si3 0.6230 0.8770 0.0000
Si4 0.8770 0.3770 0.0000
Ir1 0.0000 0.5000 0.5000
Ir2 0.0669 0.7822 0.5000
Ir3 0.2178 0.0669 0.5000
Ir4 0.2822 0.5669 0.5000
Ir5 0.4331 0.2822 0.5000
Ir6 0.5000 0.0000 0.5000
Ir7 0.5669 0.7178 0.5000
Ir8 0.7178 0.4331 0.5000
Ir9 0.7822 0.9331 0.5000
Ir10 0.9331 0.2178 0.5000
```


This record from Alexandria describes a relaxed structure of NdSmMgIr. The functional is PBE.

Output
As for the space group: F-43m (216). The value obtained for the energy of formation from the pure elements is -0.328 eV per atom.

CIF file:
```
data_NdSmMgIr
_symmetry_space_group_name_H-M 'P 1'
_symmetry_Int_Tables_number 1
_symmetry_space_group_name_Hall 'P 1'
_cell_length_a 7.3007
_cell_length_b 7.3007
_cell_length_c 7.3007
_cell_angle_alpha 90.00
_cell_angle_beta 90.00
_cell_angle_gamma 90.00
loop_
_atom_site_label
_atom_site_fract_x
_atom_site_fract_y
_atom_site_fract_z
Nd1 0.0000 0.0000 0.0000
Nd2 0.0000 0.5000 0.5000
Nd3 0.5000 0.0000 0.5000
Nd4 0.5000 0.5000 0.0000
Sm1 0.0000 0.0000 0.5000
Sm2 0.0000 0.5000 0.0000
Sm3 0.5000 0.0000 0.0000
Sm4 0.5000 0.5000 0.5000
Mg1 0.2500 0.2500 0.2500
Mg2 0.2500 0.7500 0.7500
Mg3 0.7500 0.2500 0.7500
Mg4 0.7500 0.7500 0.2500
Ir1 0.2500 0.2500 0.7500
Ir2 0.2500 0.7500 0.2500
Ir3 0.7500 0.2500 0.2500
Ir4 0.7500 0.7500 0.7500
```


This record from Alexandria describes a relaxed structure of Nd2MgSn4Ir3. The functional is PBE.

Output
As for the space group: P-4m2 (115). The value obtained for the energy of formation from the pure elements is -0.531 eV per atom.

CIF file:
```
data_Nd2MgSn4Ir3
_symmetry_space_group_name_H-M 'P 1'
_symmetry_Int_Tables_number 1
_symmetry_space_group_name_Hall 'P 1'
_cell_length_a 4.4712
_cell_length_b 4.4712
_cell_length_c 11.3354
_cell_angle_alpha 90.00
_cell_angle_beta 90.00
_cell_angle_gamma 90.00
loop_
_atom_site_label
_atom_site_fract_x
_atom_site_fract_y
_atom_site_fract_z
Nd1 0.0000 0.5000 0.2384
Nd2 0.5000 0.0000 0.7616
Mg1 0.0000 0.0000 0.5000
Sn1 0.0000 0.0000 0.0000
Sn2 0.0000 0.5000 0.6424
Sn3 0.5000 0.0000 0.3576
Sn4 0.5000 0.5000 0.0000
Ir1 0.0000 0.5000 0.8714
Ir2 0.5000 0.0000 0.1286
Ir3 0.5000 0.5000 0.5000
```


no.,Fermi-level density of states (states/eV per cell),spin magnetization (μB per cell)
1,6.86,0.000
2,7.21,0.000
3,12.19,0.000
4,4.91,0.000